[1]
Here is a relaxed HoTmZr2 crystal from Alexandria. Energies are from PBE-GGA.

a b c (Å): 3.3601 5.8773 11.2571
angles (deg): 74.80 98.54 89.96
Closest atoms and distances in Å follow each position.
Positions (direct):
Ho 0.0000 0.5000 0.5000  6 Ho 3.36-3.39, 2 Tm 3.43, 4 Zr 3.44
Ho 0.5000 0.0000 0.5000  6 Ho 3.36-3.39, 2 Zr 3.42, 4 Tm 3.43
Tm 0.1313 0.7000 0.7625  7 Zr 3.22-3.40, 2 Tm 3.36, 3 Ho 3.43
Tm 0.8687 0.3000 0.2375  7 Zr 3.22-3.40, 2 Tm 3.36, 3 Ho 3.43
Zr 0.7519 0.7627 0.0044  7 Zr 3.14-3.36, 3 Tm 3.22-3.28
Zr 0.2481 0.2373 0.9956  7 Zr 3.14-3.36, 3 Tm 3.22-3.28
Zr 0.6318 0.1963 0.7634  5 Zr 3.14-3.36, 4 Tm 3.37-3.40, 3 Ho 3.42-3.44
Zr 0.3682 0.8037 0.2366  5 Zr 3.14-3.36, 4 Tm 3.37-3.40, 3 Ho 3.42-3.44

Crystal system: monoclinic
Energy relative to the lowest polymorph listed for this composition in eV per formula unit: 0.00
Density in g cm⁻³: 8.1
Formation enthalpy at 0 K in meV per atom: 68
Space-group type: C2/m, No. 12
Volume in Å³ per atom: 26.50


[2]
Here is a relaxed HoTm6Zr2 crystal from Alexandria. Energies are from PBE-GGA.

a b c (Å): 3.5357 6.5478 12.0902
angles (deg): 73.73 81.59 74.34
Closest atoms and distances in Å follow each position.
Positions (direct):
Ho 0.0000 0.0000 0.0000  8 Tm 3.51-3.75, 2 Ho 3.54, 4 Zr 3.77
Tm 0.7119 0.4631 0.1131  2 Zr 3.13, 4 Tm 3.17-3.27
Tm 0.2881 0.5369 0.8869  2 Zr 3.13, 4 Tm 3.17-3.27
Tm 0.3508 0.7683 0.5301  3 Zr 3.32-3.35, 9 Tm 3.33-3.63
Tm 0.0239 0.6564 0.2957  2 Zr 3.18, 8 Tm 3.27-3.54
Tm 0.9761 0.3436 0.7043  2 Zr 3.18, 8 Tm 3.27-3.54
Tm 0.6492 0.2317 0.4699  3 Zr 3.32-3.35, 9 Tm 3.33-3.63
Zr 0.3248 0.0876 0.2627  7 Tm 3.13-3.35
Zr 0.6752 0.9124 0.7373  7 Tm 3.13-3.35

Crystal system: monoclinic
Energy relative to the lowest polymorph listed for this composition in eV per formula unit: 0.35
Density in g cm⁻³: 8.8
Formation enthalpy at 0 K in meV per atom: 106
Space-group type: C2/m, No. 12
Volume in Å³ per atom: 28.66


[3]
Here is a relaxed Ho4Tm3Zr crystal from Alexandria. Energies are from PBE-GGA.

a b c (Å): 3.3674 6.5933 11.4076
angles (deg): 73.20 98.49 90.00
Closest atoms and distances in Å follow each position.
Positions (direct):
Tm 0.0000 0.5000 0.0000  2 Ho 3.11, 4 Tm 3.11-3.37
Tm 0.1195 0.6451 0.2390  3 Tm 3.11-3.37, 5 Ho 3.12-3.48, 2 Zr 3.45
Tm 0.8805 0.3549 0.7610  3 Tm 3.11-3.37, 5 Ho 3.12-3.48, 2 Zr 3.45
Ho 0.7408 0.7572 0.4816  9 Ho 3.37-3.75, 3 Tm 3.47-3.48
Ho 0.2592 0.2428 0.5184  9 Ho 3.37-3.75, 3 Tm 3.47-3.48
Ho 0.1199 0.1180 0.2398  3 Tm 3.11-3.47, 3 Ho 3.37-3.47, 2 Zr 3.46
Ho 0.8801 0.8820 0.7602  3 Tm 3.11-3.47, 3 Ho 3.37-3.47, 2 Zr 3.46
Zr 0.5000 0.0000 0.0000  2 Zr 3.37, 8 Tm 3.45-3.70, 4 Ho 3.46

Crystal system: monoclinic
Energy relative to the lowest polymorph listed for this composition in eV per formula unit: 1.40
Density in g cm⁻³: 8.7
Formation enthalpy at 0 K in meV per atom: 205
Space-group type: C2/m, No. 12
Volume in Å³ per atom: 29.95


[4]
Here is a relaxed HoU4 crystal from Alexandria. Energies are from PBE-GGA.

a b c (Å): 5.3089 5.3089 5.3089
angles (deg): 90.00 90.00 90.00
Closest atoms and distances in Å follow each position.
Positions (direct):
U 0.0000 0.0000 0.0000  12 U 3.75
U 0.5000 0.0000 0.5000  2 Ho 2.65
U 0.0000 0.5000 0.5000  2 Ho 2.65
U 0.5000 0.5000 0.0000  2 Ho 2.65
Ho 0.5000 0.5000 0.5000  6 U 2.65

Crystal system: cubic
Density in g cm⁻³: 12.4
Formation enthalpy at 0 K in meV per atom: 1954
Space-group type: Pm-3m, No. 221
Volume in Å³ per atom: 29.93


[5]
Here is a relaxed HoUV crystal from Alexandria. Energies are from PBE-GGA.

a b c (Å): 6.0700 5.9610 8.8346
angles (deg): 79.93 69.91 59.39
Closest atoms and distances in Å follow each position.
Positions (direct):
Ho 0.1627 0.5000 0.6747  3 Ho 2.90-3.23, 4 U 3.03-3.11, 2 V 3.15
Ho 0.3373 0.5000 0.3253  3 Ho 2.90-3.23, 4 U 3.03-3.11, 2 V 3.15
Ho 0.5873 0.0000 0.8253  3 Ho 2.90-3.23, 4 U 3.03-3.11, 2 V 3.15
Ho 0.4127 0.0000 0.1747  3 Ho 2.90-3.23, 4 U 3.03-3.11, 2 V 3.15
U 0.6212 0.5000 0.7577  2 V 2.59
U 0.8788 0.5000 0.2423  2 V 2.59
U 0.1288 0.0000 0.7423  2 V 2.59
U 0.8712 0.0000 0.2577  2 V 2.59
V 0.9423 0.1153 0.5000  2 U 2.59
V 0.5577 0.8847 0.5000  2 U 2.59
V 0.8077 0.3847 0.0000  2 U 2.59
V 0.1923 0.6153 0.0000  2 U 2.59

Crystal system: orthorhombic
Density in g cm⁻³: 11.7
Formation enthalpy at 0 K in meV per atom: 688
Space-group type: Fddd, No. 70
Volume in Å³ per atom: 21.53


[6]
Here is a relaxed HoUZn crystal from Alexandria. Energies are from PBE-GGA.

a b c (Å): 4.6873 3.0915 9.3393
angles (deg): 80.47 90.00 90.00
Closest atoms and distances in Å follow each position.
Positions (direct):
Ho 0.2500 0.1358 0.7284  5 Zn 2.97-3.07, 2 Ho 3.09
Ho 0.7500 0.8642 0.2716  5 Zn 2.97-3.07, 2 Ho 3.09
U 0.2500 0.4710 0.0581  2 U 2.58
U 0.7500 0.5290 0.9419  2 U 2.58
Zn 0.7500 0.7031 0.5938  5 Ho 2.97-3.07, 6 Zn 3.09-3.30, 1 U 3.21
Zn 0.2500 0.2969 0.4062  5 Ho 2.97-3.07, 6 Zn 3.09-3.30, 1 U 3.21

Crystal system: orthorhombic
Density in g cm⁻³: 11.7
Formation enthalpy at 0 K in meV per atom: 96
Space-group type: Cmcm, No. 63
Volume in Å³ per atom: 22.24


[7]
Here is a relaxed HoUZn4 crystal from Alexandria. Energies are from PBE-GGA.

a b c (Å): 5.4310 5.4310 5.4310
angles (deg): 60.00 60.00 60.00
Closest atoms and distances in Å follow each position.
Positions (direct):
Zn 0.6250 0.6250 0.1249  6 Zn 2.72
Zn 0.6250 0.1249 0.6250  6 Zn 2.72
Zn 0.6250 0.6250 0.6250  6 Zn 2.72
Zn 0.1249 0.6250 0.6250  6 Zn 2.72
U 0.0000 0.0000 0.0000  12 Zn 3.18, 4 Ho 3.33
Ho 0.2500 0.2500 0.2500  12 Zn 3.18, 4 U 3.33

Crystal system: cubic
Density in g cm⁻³: 9.7
Formation enthalpy at 0 K in meV per atom: -66
Space-group type: F-43m, No. 216
Volume in Å³ per atom: 18.88


[8]
Here is a relaxed HoUZn17 crystal from Alexandria. Energies are from PBE-GGA.

a b c (Å): 6.7837 6.7837 6.7837
angles (deg): 82.73 82.73 82.73
Closest atoms and distances in Å follow each position.
Positions (direct):
Ho 0.6637 0.6637 0.6637  19 Zn 3.10-3.44
U 0.3359 0.3359 0.3359  19 Zn 3.10-3.44
Zn 0.2975 0.9996 0.7030  8 Zn 2.58-2.76
Zn 0.7030 0.2975 0.9996  8 Zn 2.58-2.76
Zn 0.9996 0.7030 0.2975  8 Zn 2.58-2.76
Zn 0.2975 0.7030 0.9996  8 Zn 2.58-2.76
Zn 0.9996 0.2975 0.7030  8 Zn 2.58-2.76
Zn 0.7030 0.9996 0.2975  8 Zn 2.58-2.76
Zn 0.3524 0.8388 0.3524  8 Zn 2.54-2.75
Zn 0.3524 0.3524 0.8388  8 Zn 2.54-2.75
Zn 0.8388 0.3524 0.3524  8 Zn 2.54-2.75
Zn 0.6460 0.1623 0.6460  8 Zn 2.54-2.76
Zn 0.6460 0.6460 0.1623  8 Zn 2.54-2.76
Zn 0.1623 0.6460 0.6460  8 Zn 2.54-2.76
Zn 0.0015 0.4991 0.0015  10 Zn 2.58-2.74
Zn 0.0015 0.0015 0.4991  10 Zn 2.58-2.74
Zn 0.4991 0.0015 0.0015  10 Zn 2.58-2.74
Zn 0.8997 0.8997 0.8997  7 Zn 2.64-2.88
Zn 0.1006 0.1006 0.1006  7 Zn 2.64-2.86

Crystal system: trigonal
Density in g cm⁻³: 8.2
Formation enthalpy at 0 K in meV per atom: -136
Space-group type: R3m, No. 160
Volume in Å³ per atom: 16.06


> Look up the density of the sixth one.

11.7 g cm⁻³


> Look up the volume of the fourth one.

29.93 Å³ per atom


> Number 7 is which compound?

HoUZn4